No. 1
Entry from the Alexandria database: an optimized crystal structure of SiPF (GGA-PBE).

POSCAR file:
```
SiPF
1.0
-4.156 -2.364 -3.876
2.294 0.346 -2.670
3.388 -4.539 2.322
P Si F
2 2 2
Cartesian
-2.363 -4.372 -2.596
0.478 -6.468 -2.771
2.420 -4.161 1.539
1.873 -1.718 -0.957
1.572 -5.237 0.671
1.025 -2.794 -1.825
```

## Properties
- ΔE_f (raw): -1.337 eV/atom
- ΔE to the lowest computed polymorph: 0.0 kJ/mol of atoms
- Magnetic moment: 0.0 μB/cell
- Mass density: 2059 kg/m3
- Volume: 63.0 Å³/f.u.
- Calculated total energy: -5.57 eV per atom



No. 2
Entry from the Alexandria database: an optimized crystal structure of RbCo3Ir (GGA-PBE).

POSCAR file:
```
RbCo3Ir
1.0
4.437 0.000 0.000
0.000 4.437 0.000
0.000 0.000 4.437
Ir Co Rb
1 3 1
Cartesian
2.219 2.219 2.219
0.000 2.219 0.000
0.000 0.000 2.219
2.219 0.000 0.000
0.000 0.000 0.000
```

## Properties
- ΔE to the lowest computed polymorph: 155.2 kJ/mol of atoms
- Magnetic moment: 5.2 μB/cell
- Mass density: 8637 kg/m3
- Volume: 87.4 Å³/f.u.
- Calculated total energy: -3.46 eV per atom



ΔE to the lowest computed polymorph of number 1 (SiPF)?
0.0 kJ/mol of atoms